# Y2AlBi2

A geometry-optimized Y2AlBi2 structure (GGA-PBE, Alexandria via LeMat-Bulk).

a = 8.3286 Å, b = 8.3286 Å, c = 4.1810 Å
α = 90.00°, β = 90.00°, γ = 90.00°
With the nearest neighbours (Å) after each atom.
Sites, in units of the cell vectors:
Y1 0.1559 0.6559 0.5000  6 Bi 3.10-3.29
Y2 0.6559 0.8441 0.5000  6 Bi 3.10-3.29
Y3 0.8441 0.3441 0.5000  6 Bi 3.10-3.29
Y4 0.3441 0.1559 0.5000  6 Bi 3.10-3.29
Bi1 0.3506 0.8506 0.0000  6 Y 3.10-3.29, 2 Al 3.17
Bi2 0.8506 0.6494 0.0000  6 Y 3.10-3.29, 2 Al 3.17
Bi3 0.6494 0.1494 0.0000  6 Y 3.10-3.29, 2 Al 3.17
Bi4 0.1494 0.3506 0.0000  6 Y 3.10-3.29, 2 Al 3.17
Al1 0.0000 0.0000 0.0000  4 Bi 3.17
Al2 0.5000 0.5000 0.0000  4 Bi 3.17

Output
Formation energy   -0.427 eV/atom
Magnetization   0.0 μB/f.u.

***

# Y2AlBi

A geometry-optimized Y2AlBi structure (GGA-PBE, Alexandria via LeMat-Bulk).

a = 8.2194 Å, b = 8.2194 Å, c = 6.7425 Å
α = 52.45°, β = 52.45°, γ = 90.00°
With the nearest neighbours (Å) after each atom.
Sites, in units of the cell vectors:
Y1 0.6160 0.1250 0.2500  2 Al 2.98, 2 Bi 3.08
Y2 0.1340 0.6250 0.2500  2 Al 2.98, 2 Bi 3.08
Y3 0.3750 0.3840 0.7500  2 Al 2.98, 2 Bi 3.08
Y4 0.8750 0.8660 0.7500  2 Al 2.98, 2 Bi 3.08
Bi1 0.0000 0.0000 0.0000  4 Y 3.08, 2 Al 3.42
Bi2 0.7500 0.2500 0.5000  4 Y 3.08, 2 Al 3.42
Al1 0.5000 0.5000 0.0000  4 Y 2.98
Al2 0.2500 0.7500 0.5000  4 Y 2.98

Output
Formation energy   -0.257 eV/atom
Magnetization   0.0 μB/f.u.

***

# Al2ZnBi2

A geometry-optimized Al2ZnBi2 structure (GGA-PBE, Alexandria via LeMat-Bulk).

a = 6.7944 Å, b = 6.7944 Å, c = 5.2629 Å
α = 90.00°, β = 90.00°, γ = 90.00°
With the nearest neighbours (Å) after each atom.
Sites, in units of the cell vectors:
Zn1 0.0000 0.0000 0.0000  4 Al 2.64
Zn2 0.5000 0.5000 0.0000  4 Al 2.64
Bi1 0.2100 0.7100 0.5000  2 Al 3.01
Bi2 0.7100 0.7900 0.5000  2 Al 3.01
Bi3 0.7900 0.2900 0.5000  2 Al 3.01
Bi4 0.2900 0.2100 0.5000  2 Al 3.01
Al1 0.3630 0.8630 0.0000  1 Al 2.63, 2 Zn 2.64
Al2 0.8630 0.6370 0.0000  1 Al 2.63, 2 Zn 2.64
Al3 0.6370 0.1370 0.0000  1 Al 2.63, 2 Zn 2.64
Al4 0.1370 0.3630 0.0000  1 Al 2.63, 2 Zn 2.64

Output
Formation energy   0.197 eV/atom
Magnetization   0.0 μB/f.u.

***

# AlZnBi2

A geometry-optimized AlZnBi2 structure (GGA-PBE, Alexandria via LeMat-Bulk).

a = 3.5181 Å, b = 3.5181 Å, c = 11.0413 Å
α = 80.83°, β = 80.83°, γ = 60.00°
With the nearest neighbours (Å) after each atom.
Sites, in units of the cell vectors:
Zn1 0.0000 0.0000 0.0000  2 Bi 3.21, 6 Zn 3.52
Bi1 0.0987 0.0987 0.7039  3 Al 3.00, 1 Zn 3.21
Bi2 0.9013 0.9013 0.2961  3 Al 3.00, 1 Zn 3.21
Al1 0.5000 0.5000 0.5000  6 Bi 3.00

Output
Formation energy   0.317 eV/atom
Magnetization   0.0 μB/f.u.

***

# Al3ZnBi

A geometry-optimized Al3ZnBi structure (GGA-PBE, Alexandria via LeMat-Bulk).

a = 5.6380 Å, b = 5.6380 Å, c = 5.6380 Å
α = 90.00°, β = 90.00°, γ = 90.00°
With the nearest neighbours (Å) after each atom.
Sites, in units of the cell vectors:
Zn1 0.5000 0.5000 0.5000  12 Al 3.99
Bi1 0.0000 0.0000 0.0000  6 Al 2.82
Al1 0.0000 0.5000 0.0000  2 Bi 2.82
Al2 0.0000 0.0000 0.5000  2 Bi 2.82
Al3 0.5000 0.0000 0.0000  2 Bi 2.82

Output
Formation energy   1.079 eV/atom
Magnetization   0.0 μB/f.u.

***

# Al3ZnBi

A geometry-optimized Al3ZnBi structure (GGA-PBE, Alexandria via LeMat-Bulk).

a = 4.8421 Å, b = 4.8421 Å, c = 4.8421 Å
α = 90.00°, β = 90.00°, γ = 90.00°
With the nearest neighbours (Å) after each atom.
Sites, in units of the cell vectors:
Zn1 0.0000 0.0000 0.0000  6 Al 2.42
Bi1 0.5000 0.5000 0.5000  12 Al 3.42
Al1 0.0000 0.5000 0.0000  2 Zn 2.42
Al2 0.0000 0.0000 0.5000  2 Zn 2.42
Al3 0.5000 0.0000 0.0000  2 Zn 2.42

Output
Formation energy   0.384 eV/atom
Magnetization   0.0 μB/f.u.

***

# Al2ZnBi2

A geometry-optimized Al2ZnBi2 structure (GGA-PBE, Alexandria via LeMat-Bulk).

a = 8.1569 Å, b = 8.1569 Å, c = 3.8781 Å
α = 90.00°, β = 90.00°, γ = 90.00°
With the nearest neighbours (Å) after each atom.
Sites, in units of the cell vectors:
Zn1 0.0000 0.0000 0.0000  4 Bi 3.00
Zn2 0.5000 0.5000 0.0000  4 Bi 3.00
Bi1 0.3230 0.8230 0.0000  2 Zn 3.00, 6 Al 3.04-3.14
Bi2 0.8230 0.6770 0.0000  2 Zn 3.00, 6 Al 3.04-3.14
Bi3 0.6770 0.1770 0.0000  2 Zn 3.00, 6 Al 3.04-3.14
Bi4 0.1770 0.3230 0.0000  2 Zn 3.00, 6 Al 3.04-3.14
Al1 0.1205 0.6205 0.5000  1 Al 2.78, 2 Bi 3.04
Al2 0.6205 0.8795 0.5000  1 Al 2.78, 2 Bi 3.04
Al3 0.8795 0.3795 0.5000  1 Al 2.78, 2 Bi 3.04
Al4 0.3795 0.1205 0.5000  1 Al 2.78, 2 Bi 3.04

Output
Formation energy   0.323 eV/atom
Magnetization   0.0 μB/f.u.

***

# AlZnBi2

A geometry-optimized AlZnBi2 structure (GGA-PBE, Alexandria via LeMat-Bulk).

a = 5.2051 Å, b = 5.2051 Å, c = 5.2051 Å
α = 60.00°, β = 60.00°, γ = 60.00°
With the nearest neighbours (Å) after each atom.
Sites, in units of the cell vectors:
Zn1 0.5000 0.5000 0.5000  8 Bi 3.19
Bi1 0.2500 0.2500 0.2500  4 Al 3.19, 4 Zn 3.19
Bi2 0.7500 0.7500 0.7500  4 Al 3.19, 4 Zn 3.19
Al1 0.0000 0.0000 0.0000  8 Bi 3.19

Output
Formation energy   0.236 eV/atom
Magnetization   0.0 μB/f.u.

***

# AlZn2Bi2

A geometry-optimized AlZn2Bi2 structure (GGA-PBE, Alexandria via LeMat-Bulk).

a = 7.2880 Å, b = 7.2880 Å, c = 4.3763 Å
α = 90.00°, β = 90.00°, γ = 90.00°
With the nearest neighbours (Å) after each atom.
Sites, in units of the cell vectors:
Zn1 0.3755 0.8755 0.0000  1 Zn 2.57
Zn2 0.8755 0.6245 0.0000  1 Zn 2.57
Zn3 0.6245 0.1245 0.0000  1 Zn 2.57
Zn4 0.1245 0.3755 0.0000  1 Zn 2.57
Bi1 0.1898 0.6898 0.5000  6 Zn 2.91-3.20
Bi2 0.6898 0.8102 0.5000  6 Zn 2.91-3.20
Bi3 0.8102 0.3102 0.5000  6 Zn 2.91-3.20
Bi4 0.3102 0.1898 0.5000  6 Zn 2.91-3.20
Al1 0.0000 0.0000 0.0000  4 Zn 2.88
Al2 0.5000 0.5000 0.0000  4 Zn 2.88

Output
Formation energy   0.202 eV/atom
Magnetization   0.0 μB/f.u.

***

# AlZnBi2

A geometry-optimized AlZnBi2 structure (GGA-PBE, Alexandria via LeMat-Bulk).

a = 6.4778 Å, b = 6.4778 Å, c = 7.7443 Å
α = 65.28°, β = 65.28°, γ = 90.00°
With the nearest neighbours (Å) after each atom.
Sites, in units of the cell vectors:
Zn1 0.0000 0.0000 0.0000  4 Bi 2.75
Zn2 0.7500 0.2500 0.5000  4 Bi 2.75
Bi1 0.6299 0.1250 0.2500  2 Zn 2.75, 2 Al 2.79
Bi2 0.1201 0.6250 0.2500  2 Zn 2.75, 2 Al 2.79
Bi3 0.3750 0.3701 0.7500  2 Zn 2.75, 2 Al 2.79
Bi4 0.8750 0.8799 0.7500  2 Zn 2.75, 2 Al 2.79
Al1 0.5000 0.5000 0.0000  4 Bi 2.79
Al2 0.2500 0.7500 0.5000  4 Bi 2.79

Output
Formation energy   0.161 eV/atom
Magnetization   0.0 μB/f.u.

***

# Al2ZnBi2

A geometry-optimized Al2ZnBi2 structure (GGA-PBE, Alexandria via LeMat-Bulk).

a = 5.0965 Å, b = 5.0965 Å, c = 6.5489 Å
α = 67.10°, β = 67.10°, γ = 90.00°
With the nearest neighbours (Å) after each atom.
Sites, in units of the cell vectors:
Zn1 0.0000 0.0000 0.0000  8 Bi 3.74, 8 Al 3.82
Bi1 0.7500 0.2500 0.5000  4 Al 2.94
Bi2 0.2500 0.7500 0.5000  4 Al 2.94
Al1 0.3842 0.3842 0.2317  1 Al 2.53
Al2 0.6158 0.6158 0.7683  1 Al 2.53

Output
Formation energy   0.325 eV/atom
Magnetization   0.0 μB/f.u.

***

# AlZn4Bi

A geometry-optimized AlZn4Bi structure (GGA-PBE, Alexandria via LeMat-Bulk).

a = 5.4273 Å, b = 5.4273 Å, c = 5.4273 Å
α = 60.00°, β = 60.00°, γ = 60.00°
With the nearest neighbours (Å) after each atom.
Sites, in units of the cell vectors:
Zn1 0.6260 0.6260 0.1219  6 Zn 2.69-2.74
Zn2 0.6260 0.1219 0.6260  6 Zn 2.69-2.74
Zn3 0.6260 0.6260 0.6260  6 Zn 2.69-2.74
Zn4 0.1219 0.6260 0.6260  6 Zn 2.69-2.74
Bi1 0.2500 0.2500 0.2500  12 Zn 3.18, 4 Al 3.32
Al1 0.0000 0.0000 0.0000  12 Zn 3.18, 4 Bi 3.32

Output
Formation energy   0.199 eV/atom
Magnetization   0.0 μB/f.u.

***

| no. | calculated total energy (eV per atom) |
| --- | --- |
| 1 | -5.3138 |
| 2 | -5.3946 |
| 3 | -3.1070 |
| 4 | -2.8775 |
| 5 | -2.1971 |
| 6 | -2.8929 |
| 7 | -2.9812 |
| 8 | -2.9586 |
| 9 | -2.6081 |
| 10 | -3.0335 |
| 11 | -2.9791 |
| 12 | -1.9211 |